Computed, not measured: a relaxed structure of RbPa2MnO8 at the PBE with a Hubbard U level of DFT.

POSCAR file:
```
RbPa2MnO8
1.0
-3.1435 -1.6799 -4.0497
3.5600 -3.8094 0.4570
-2.1734 -4.7067 4.5908
Rb Pa Mn O
1 2 1 8
direct
0.0000 0.0000 0.5000 Rb
0.5680 0.3542 0.8073 Pa
0.4320 0.6458 0.1927 Pa
0.0000 0.0000 0.0000 Mn
0.0815 0.7178 0.2397 O
0.7312 0.6913 0.9407 O
0.7146 0.0567 0.1139 O
0.9185 0.2822 0.7603 O
0.2688 0.3087 0.0593 O
0.2854 0.9433 0.8861 O
0.5018 0.6892 0.5252 O
0.4982 0.3108 0.4748 O
```

* space-group type: P-1, No. 2
* final energy: -8.0815 eV/atom